Material: ScW2O8
Method: DFT, PBE+U
State: relaxed

Output
- M_tot: 0.00 μB/cell
- DFT total energy: -7.27 eV/atom
- Symmetry: I4/mmm, No. 139
- Crystal system: tetragonal
- V: 11.07 A^3/atom

Cell: 6.2255 6.2255 6.2255 Å, 134.27 134.27 66.67°
With the nearest neighbours (Å) after each atom.
Atoms (fractional coordinates):
Sc 0.0000 0.0000 0.0000  8 O 2.20
W 0.2500 0.7500 0.5000  8 O 2.07
W 0.7500 0.2500 0.5000  8 O 2.07
O 0.1070 0.1070 0.4895  2 W 2.07, 1 Sc 2.20
O 0.1070 0.6175 0.0000  2 W 2.07, 1 Sc 2.20
O 0.3825 0.3825 0.4895  2 W 2.07, 1 Sc 2.20
O 0.3825 0.8930 0.0000  2 W 2.07, 1 Sc 2.20
O 0.6175 0.1070 0.0000  2 W 2.07, 1 Sc 2.20
O 0.6175 0.6175 0.5105  2 W 2.07, 1 Sc 2.20
O 0.8930 0.3825 0.0000  2 W 2.07, 1 Sc 2.20
O 0.8930 0.8930 0.5105  2 W 2.07, 1 Sc 2.20